# VReW2Se | Alexandria | PBE-GGA | relaxed
data_VReW2Se
_cell_length_a 4.828
_cell_length_b 4.828
_cell_length_c 4.592
_cell_angle_alpha 90.00
_cell_angle_beta 90.00
_cell_angle_gamma 90.00
_space_group_name_H-M_alt 'P 4/m m m'
_space_group_IT_number 123
_space_group_name_Hall '-P 4 2'
loop_
_atom_site_label
_atom_site_type_symbol
_atom_site_fract_x
_atom_site_fract_y
_atom_site_fract_z
V1 V 0.000 0.000 0.000
Re1 Re 0.500 0.500 0.500
W1 W 0.000 0.500 0.500
Se1 Se 0.500 0.500 0.000
# Total magnetic moment   0.009 μB/cell
# DOS(E_F)   1.377 states/eV/atom
# E_form (uncorrected)   2081 meV/atom
# Raw total energy   -40.55 eV for the cell shown